Computed, not measured: a relaxed structure of ThTa2Os2 at the PBE level of DFT.

Geometry as POSCAR:
```
ThTa2Os2
1.0
-1.2227 0.4486 4.2056
-3.9365 -1.7217 -0.9608
4.4871 -4.3297 -0.5381
Ta Os Th
2 2 1
Direct
0.7500 0.2500 0.5000 Ta
0.2500 0.7500 0.5000 Ta
0.3798 0.3798 0.7596 Os
0.6202 0.6202 0.2404 Os
0.0000 0.0000 0.0000 Th
```

DOS at the Fermi energy ... 3.8 states/eV/cell
Formation energy from the elements ... -320 meV per atom